No. 1
Density functional theory data (PBE) for NaCa after structural relaxation.

abc: 7.802 7.802 7.802
angles: 90.00 90.00 90.00
Positions (direct):
Ca (0.000, 0.000, 0.000)
Na (0.750, 0.750, 0.250)
Ca (0.500, 0.500, 0.000)
Ca (0.000, 0.500, 0.500)
Na (0.750, 0.250, 0.750)
Na (0.250, 0.250, 0.250)
Ca (0.500, 0.000, 0.500)
Na (0.250, 0.750, 0.750)

Calculated values
* energy of formation from the pure elements: 711 meV/atom
* V: 475.0 Å³/cell
* total magnetization: 0.000 μB/atom

No. 2
Density functional theory data (PBE) for Na3Ca5 after structural relaxation.

abc: 3.914 3.914 20.858
angles: 90.00 90.00 89.89
Positions (direct):
Na (0.000, 0.000, 0.886)
Ca (0.000, 0.000, 0.631)
Ca (0.000, 0.000, 0.369)
Na (0.000, 0.000, 0.114)
Ca (0.500, 0.500, 0.238)
Na (0.500, 0.500, 0.000)
Ca (0.500, 0.500, 0.500)
Ca (0.500, 0.500, 0.762)

Calculated values
* energy of formation from the pure elements: 20 meV/atom
* V: 319.5 Å³/cell
* total magnetization: 0.000 μB/atom

No. 3
Density functional theory data (PBE) for NaCa3 after structural relaxation.

abc: 3.931 6.598 7.378
angles: 116.56 105.45 90.00
Positions (direct):
Ca (0.741, 0.092, 0.482)
Ca (0.500, 0.476, 0.000)
Ca (0.259, 0.610, 0.518)
Na (0.000, 0.989, 0.000)

Calculated values
* energy of formation from the pure elements: 49 meV/atom
* V: 163.4 Å³/cell
* total magnetization: 0.000 μB/atom

No. 4
Density functional theory data (PBE) for NaCa5 after structural relaxation.

abc: 3.765 6.618 10.535
angles: 90.47 90.00 106.53
Positions (direct):
Ca (0.995, 0.990, 0.549)
Ca (0.727, 0.454, 0.045)
Ca (0.729, 0.459, 0.397)
Na (0.993, 0.985, 0.898)
Ca (0.262, 0.524, 0.721)
Ca (0.461, 0.921, 0.223)

Calculated values
* energy of formation from the pure elements: 75 meV/atom
* V: 251.7 Å³/cell
* total magnetization: 0.000 μB/atom